First-principles (PBE-GGA) data for an optimized crystal structure of Hf2NiHgSe, as listed in Alexandria via LeMat-Bulk.

Lattice parameters (Å, degrees): 4.918 4.918 4.406 90.00 90.00 90.00
Space group P4/mmm (No. 123)
Symmetry-distinct sites (fractional):
Hf: 0.000 0.500 0.000
Ni: 0.000 0.000 0.000
Hg: 0.500 0.500 0.500
Se: 0.000 0.000 0.500

## Properties
As for the raw formation energy: 235.3 meV per atom. For the calculated total energy, the calculation gives -5.6596 eV/atom. Its crystal system is tetragonal. For the density of states at the Fermi level, the calculation gives 5.06 states/eV/cell. The mass density comes out at 10.83 g/cm³. As for the size of the total moment: 0.0 μB per cell.

First-principles (PBE-GGA) data for an optimized crystal structure of Ba4SbPb, as listed in Alexandria via LeMat-Bulk.

Lattice parameters (Å, degrees): 10.090 10.090 10.090 90.00 90.00 90.00
Space group F-43m (No. 216)
Symmetry-distinct sites (fractional):
Ba: 0.124 0.124 0.376
Sb: 0.250 0.250 0.750
Pb: 0.000 0.000 0.000

## Properties
As for the raw formation energy: 63.2 meV per atom. For the calculated total energy, the calculation gives -2.5237 eV/atom. Its crystal system is cubic. For the density of states at the Fermi level, the calculation gives 23.15 states/eV/cell. The mass density comes out at 5.68 g/cm³. As for the size of the total moment: 0.0 μB per cell.

First-principles (PBE-GGA) data for an optimized crystal structure of Mg2InS, as listed in Alexandria via LeMat-Bulk.

Lattice parameters (Å, degrees): 7.028 7.028 7.028 90.00 90.00 90.00
Space group Fm-3m (No. 225)
Symmetry-distinct sites (fractional):
Mg: 0.250 0.250 0.250
In: 0.000 0.000 0.000
S: 0.000 0.000 0.500

## Properties
As for the raw formation energy: -38.1 meV per atom. The value obtained for the energy relative to the lowest polymorph listed for this composition is 0.415 eV per atom. For the calculated total energy, the calculation gives -2.5518 eV/atom. Its crystal system is cubic. For the density of states at the Fermi level, the calculation gives 20.61 states/eV/cell. The mass density comes out at 3.74 g/cm³. As for the size of the total moment: 0.0 μB per cell.

First-principles (PBE-GGA) data for an optimized crystal structure of Ac3MgN3, as listed in Alexandria via LeMat-Bulk.

Lattice parameters (Å, degrees): 9.864 11.014 5.577 90.00 90.00 90.00
Space group Cmcm (No. 63)
Symmetry-distinct sites (fractional):
Ac: 0.000 0.113 0.250
Ac: 0.232 0.375 0.250
Mg: 0.000 0.333 0.750
N: 0.000 0.113 0.750
N: 0.234 0.361 0.750

## Properties
As for the raw formation energy: -810.3 meV per atom. For the calculated total energy, the calculation gives -6.3668 eV/atom. Its crystal system is orthorhombic. For the density of states at the Fermi level, the calculation gives 10.89 states/eV/cell. The mass density comes out at 8.19 g/cm³. As for the size of the total moment: 0.0 μB per cell.

First-principles (PBE-GGA) data for an optimized crystal structure of Ga3AsN, as listed in Alexandria via LeMat-Bulk.

Lattice parameters (Å, degrees): 4.369 4.369 4.369 90.00 90.00 90.00
Space group Pm-3m (No. 221)
Symmetry-distinct sites (fractional):
Ga: 0.000 0.000 0.500
As: 0.500 0.500 0.500
N: 0.000 0.000 0.000

## Properties
As for the raw formation energy: 347.4 meV per atom. The value obtained for the energy relative to the lowest polymorph listed for this composition is 0.000 eV per atom. For the calculated total energy, the calculation gives -4.0637 eV/atom. Its crystal system is cubic. For the density of states at the Fermi level, the calculation gives 2.52 states/eV/cell. The mass density comes out at 5.94 g/cm³. As for the size of the total moment: 0.0 μB per cell.

First-principles (PBE-GGA) data for an optimized crystal structure of K2SrCo, as listed in Alexandria via LeMat-Bulk.

Lattice parameters (Å, degrees): 8.711 8.711 8.711 90.00 90.00 90.00
Space group Fm-3m (No. 225)
Symmetry-distinct sites (fractional):
K: 0.250 0.250 0.250
Sr: 0.000 0.000 0.000
Co: 0.000 0.000 0.500

## Properties
The value obtained for the energy relative to the lowest polymorph listed for this composition is 0.381 eV per atom. For the calculated total energy, the calculation gives -1.8342 eV/atom. Its crystal system is cubic. The energy of formation comes out at 0.911 eV/atom. For the density of states at the Fermi level, the calculation gives 154.99 states/eV/cell. The mass density comes out at 2.26 g/cm³. As for the size of the total moment: 5.6 μB per cell.

First-principles (PBE-GGA) data for an optimized crystal structure of CeCuH8Ru2, as listed in Alexandria via LeMat-Bulk.

Lattice parameters (Å, degrees): 4.7321 4.7321 6.2704 90.00 90.00 120.00
Space group P-3m1 (No. 164)
Symmetry-distinct sites (fractional):
Ce: 0.0000 0.0000 0.0000
Cu: 0.0000 0.0000 0.5000
H: 0.1406 0.2811 0.3034
H: 0.3333 0.6667 0.1037
Ru: 0.3333 0.6667 0.3651

## Properties
For the calculated total energy, the calculation gives -4.5208 eV/atom. Its crystal system is trigonal. For the density of states at the Fermi level, the calculation gives 7.40 states/eV/cell. The mass density comes out at 5.65 g/cm³. As for the size of the total moment: 0.7 μB per cell.

First-principles (PBE-GGA) data for an optimized crystal structure of Pr2ZnNi3Sn4, as listed in Alexandria via LeMat-Bulk.

Lattice parameters (Å, degrees): 4.478 4.478 10.440 90.00 90.00 90.00
Space group P-4m2 (No. 115)
Symmetry-distinct sites (fractional):
Pr: 0.000 0.500 0.248
Zn: 0.500 0.500 0.000
Ni: 0.000 0.000 0.000
Ni: 0.000 0.500 0.621
Sn: 0.000 0.000 0.500
Sn: 0.000 0.500 0.862
Sn: 0.500 0.500 0.500

## Properties
For the calculated total energy, the calculation gives -4.9340 eV/atom. Its crystal system is tetragonal. The energy of formation comes out at -0.515 eV/atom. For the density of states at the Fermi level, the calculation gives 5.38 states/eV/cell. The mass density comes out at 7.92 g/cm³. As for the size of the total moment: 0.0 μB per cell.

First-principles (PBE-GGA) data for an optimized crystal structure of TbPrEu2, as listed in Alexandria via LeMat-Bulk.

Lattice parameters (Å, degrees): 6.014 6.014 4.082 90.00 90.00 90.00
Space group P4/mmm (No. 123)
Symmetry-distinct sites (fractional):
Tb: 0.000 0.000 0.000
Pr: 0.500 0.500 0.000
Eu: 0.000 0.500 0.500

## Properties
The value obtained for the energy relative to the lowest polymorph listed for this composition is 0.061 eV per atom. For the calculated total energy, the calculation gives -7.3442 eV/atom. Its crystal system is tetragonal. The energy of formation comes out at 0.145 eV/atom. For the density of states at the Fermi level, the calculation gives 5.65 states/eV/cell. The mass density comes out at 6.79 g/cm³. As for the size of the total moment: 14.9 μB per cell.

First-principles (PBE-GGA) data for an optimized crystal structure of ErZrU, as listed in Alexandria via LeMat-Bulk.

Lattice parameters (Å, degrees): 5.2331 5.2331 3.1567 90.00 90.00 120.00
Space group P-6m2 (No. 187)
Symmetry-distinct sites (fractional):
Er: 0.0000 0.0000 0.0000
Zr: 0.3333 0.6667 0.5000
U: 0.6667 0.3333 0.5000

## Properties
The value obtained for the energy relative to the lowest polymorph listed for this composition is 0.000 eV per atom. For the calculated total energy, the calculation gives -7.8144 eV/atom. Its crystal system is hexagonal. The energy of formation comes out at 0.319 eV/atom. For the density of states at the Fermi level, the calculation gives 6.00 states/eV/cell. The mass density comes out at 11.01 g/cm³. As for the size of the total moment: 2.2 μB per cell.

First-principles (PBE-GGA) data for an optimized crystal structure of La3PrTm2As6, as listed in Alexandria via LeMat-Bulk.

Lattice parameters (Å, degrees): 7.388 12.796 7.379 90.00 109.51 90.00
Space group C2/m (No. 12)
Symmetry-distinct sites (fractional):
La: 0.000 0.000 0.000
La: 0.000 0.335 0.000
Pr: 0.000 0.500 0.500
Tm: 0.000 0.167 0.500
As: 0.238 0.000 0.737
As: 0.250 0.171 0.261

## Properties
For the calculated total energy, the calculation gives -6.2196 eV/atom. Its crystal system is monoclinic. The energy of formation comes out at -1.519 eV/atom. For the density of states at the Fermi level, the calculation gives 2.51 states/eV/cell. The mass density comes out at 6.79 g/cm³. As for the size of the total moment: 0.0 μB per cell.

First-principles (PBE-GGA) data for an optimized crystal structure of LaScIN2, as listed in Alexandria via LeMat-Bulk.

Lattice parameters (Å, degrees): 4.370 4.370 5.419 90.00 90.00 90.00
Space group P4/mmm (No. 123)
Symmetry-distinct sites (fractional):
La: 0.000 0.000 0.000
Sc: 0.500 0.500 0.500
I: 0.500 0.500 0.000
N: 0.000 0.500 0.500

## Properties
As for the raw formation energy: -203.4 meV per atom. The value obtained for the energy relative to the lowest polymorph listed for this composition is 0.000 eV per atom. For the calculated total energy, the calculation gives -6.0953 eV/atom. Its crystal system is tetragonal. For the density of states at the Fermi level, the calculation gives 1.96 states/eV/cell. The mass density comes out at 5.43 g/cm³. As for the size of the total moment: 0.8 μB per cell.

First-principles (PBE-GGA) data for an optimized crystal structure of Y3RuCl, as listed in Alexandria via LeMat-Bulk.

Lattice parameters (Å, degrees): 5.410 5.410 5.410 90.00 90.00 90.00
Space group Pm-3m (No. 221)
Symmetry-distinct sites (fractional):
Y: 0.000 0.000 0.500
Ru: 0.000 0.000 0.000
Cl: 0.500 0.500 0.500

## Properties
As for the raw formation energy: -248.2 meV per atom. The value obtained for the energy relative to the lowest polymorph listed for this composition is 0.000 eV per atom. For the calculated total energy, the calculation gives -6.3511 eV/atom. Its crystal system is cubic. For the density of states at the Fermi level, the calculation gives 6.46 states/eV/cell. The mass density comes out at 4.23 g/cm³. As for the size of the total moment: 0.0 μB per cell.

First-principles (PBE-GGA) data for an optimized crystal structure of PrCu3Ge2, as listed in Alexandria via LeMat-Bulk.

Lattice parameters (Å, degrees): 15.338 4.082 7.294 90.00 115.18 90.00
Space group C2/m (No. 12)
Symmetry-distinct sites (fractional):
Pr: 0.149 0.000 0.072
Cu: 0.036 0.000 0.377
Cu: 0.093 0.500 0.664
Cu: 0.188 0.500 0.455
Ge: 0.022 0.500 0.186
Ge: 0.192 0.000 0.687

## Properties
For the calculated total energy, the calculation gives -4.7780 eV/atom. Its crystal system is monoclinic. The energy of formation comes out at -0.394 eV/atom. For the density of states at the Fermi level, the calculation gives 10.82 states/eV/cell. The mass density comes out at 7.66 g/cm³. As for the size of the total moment: 0.0 μB per cell.

First-principles (PBE-GGA) data for an optimized crystal structure of NbAlV4, as listed in Alexandria via LeMat-Bulk.

Lattice parameters (Å, degrees): 7.091 7.091 7.091 90.00 90.00 90.00
Space group F-43m (No. 216)
Symmetry-distinct sites (fractional):
Nb: 0.000 0.000 0.000
Al: 0.250 0.250 0.750
V: 0.127 0.127 0.373

## Properties
For the calculated total energy, the calculation gives -8.3974 eV/atom. Its crystal system is cubic. The energy of formation comes out at -0.016 eV/atom. For the density of states at the Fermi level, the calculation gives 36.75 states/eV/cell. The mass density comes out at 6.03 g/cm³. As for the size of the total moment: 0.0 μB per cell.

First-principles (PBE-GGA) data for an optimized crystal structure of Cu2SnTe3, as listed in Alexandria via LeMat-Bulk.

Lattice parameters (Å, degrees): 8.754 26.162 12.390 90.00 90.00 90.00
Space group Fdd2 (No. 43)
Symmetry-distinct sites (fractional):
Cu: 0.000 0.000 0.000
Cu: 0.000 0.000 0.493
Cu: 0.010 0.334 0.503
Sn: 0.012 0.170 0.501
Te: 0.002 0.243 0.136
Te: 0.020 0.083 0.113
Te: 0.020 0.423 0.127

## Properties
As for the raw formation energy: -138.3 meV per atom. The value obtained for the energy relative to the lowest polymorph listed for this composition is 0.002 eV per atom. For the calculated total energy, the calculation gives -3.7417 eV/atom. Its crystal system is orthorhombic. For the density of states at the Fermi level, the calculation gives 21.10 states/eV/cell. The mass density comes out at 5.89 g/cm³. As for the size of the total moment: 0.0 μB per cell.

First-principles (PBE-GGA) data for an optimized crystal structure of FePd9Au2, as listed in Alexandria via LeMat-Bulk.

Lattice parameters (Å, degrees): 3.974 3.974 11.841 90.00 90.00 90.00
Space group P4/mmm (No. 123)
Symmetry-distinct sites (fractional):
Fe: 0.000 0.000 0.000
Pd: 0.000 0.500 0.157
Pd: 0.000 0.500 0.500
Pd: 0.500 0.500 0.000
Pd: 0.500 0.500 0.328
Au: 0.000 0.000 0.330

## Properties
For the calculated total energy, the calculation gives -5.2161 eV/atom. Its crystal system is tetragonal. The energy of formation comes out at -0.070 eV/atom. For the density of states at the Fermi level, the calculation gives 13.48 states/eV/cell. The mass density comes out at 12.50 g/cm³. As for the size of the total moment: 4.6 μB per cell.